[1]
The following is a SCAN calculation of a PBEsol-optimized structure of LiCdS2, from Alexandria via LeMat-Bulk.

```
16
Lattice="5.6438 0.0000 0.0000 0.0000 5.6438 0.0000 0.0000 0.0000 11.1067" Properties=species:S:1:pos:R:3 pbc="T T T"
Li 0.0000 0.0000 0.0000
Li 0.0000 2.8219 2.7767
Li 2.8219 0.0000 8.3300
Li 2.8219 2.8219 5.5533
Cd 0.0000 0.0000 5.5533
Cd 0.0000 2.8219 8.3300
Cd 2.8219 0.0000 2.7767
Cd 2.8219 2.8219 0.0000
S 1.3219 1.4109 1.3883
S 1.4109 4.1438 4.1650
S 1.4109 4.3219 9.7183
S 1.5000 1.4109 6.9417
S 4.1438 4.2328 6.9417
S 4.2328 1.3219 9.7183
S 4.2328 1.5000 4.1650
S 4.3219 4.2328 1.3883
```

Properties
crystal system = tetragonal
Fermi-level density of states = 4.0 states/eV/f.u.
theoretical density = 3.44 Mg/m³
formation energy without anion corrections = -622 meV per atom



[2]
The following is a SCAN calculation of a PBEsol-optimized structure of LiNbHg3, from Alexandria via LeMat-Bulk.

```
5
Lattice="5.3417 0.0000 0.0000 0.0000 5.3417 0.0000 0.0000 0.0000 5.3417" Properties=species:S:1:pos:R:3 pbc="T T T"
Li 0.0000 0.0000 0.0000
Nb 2.6708 2.6708 2.6708
Hg 0.0000 2.6708 2.6708
Hg 2.6708 0.0000 2.6708
Hg 2.6708 2.6708 0.0000
```

Properties
crystal system = cubic
calculated formation energy = 0.52 eV/atom
Fermi-level density of states = 4.4 states/eV/f.u.
theoretical density = 7.64 Mg/m³



[3]
The following is a SCAN calculation of a PBEsol-optimized structure of BeCo2AsPd, from Alexandria via LeMat-Bulk.

```
5
Lattice="4.5518 0.0000 0.0000 0.0000 4.5518 0.0000 0.0000 0.0000 4.4839" Properties=species:S:1:pos:R:3 pbc="T T T"
Be 0.0000 0.0000 0.0000
Co 0.0000 2.2759 2.2419
Co 2.2759 0.0000 2.2419
As 2.2759 2.2759 0.0000
Pd 2.2759 2.2759 2.2419
```

Properties
crystal system = tetragonal
calculated formation energy = 1.18 eV/atom
Fermi-level density of states = 3.9 states/eV/f.u.
theoretical density = 5.51 Mg/m³



[4]
The following is a SCAN calculation of a PBEsol-optimized structure of LuMgAg2, from Alexandria via LeMat-Bulk.

```
16
Lattice="6.7900 0.0000 0.0000 0.0000 6.7900 0.0000 0.0000 0.0000 6.7900" Properties=species:S:1:pos:R:3 pbc="T T T"
Lu 0.0000 0.0000 0.0000
Lu 0.0000 3.3950 3.3950
Lu 3.3950 0.0000 3.3950
Lu 3.3950 3.3950 0.0000
Mg 0.0000 0.0000 3.3950
Mg 0.0000 3.3950 0.0000
Mg 3.3950 0.0000 0.0000
Mg 3.3950 3.3950 3.3950
Ag 1.6975 1.6975 1.6975
Ag 1.6975 1.6975 5.0925
Ag 1.6975 5.0925 1.6975
Ag 1.6975 5.0925 5.0925
Ag 5.0925 1.6975 1.6975
Ag 5.0925 1.6975 5.0925
Ag 5.0925 5.0925 1.6975
Ag 5.0925 5.0925 5.0925
```

Properties
crystal system = cubic
calculated formation energy = -0.35 eV/atom
Fermi-level density of states = 2.1 states/eV/f.u.
theoretical density = 8.81 Mg/m³



[5]
The following is a SCAN calculation of a PBEsol-optimized structure of TaInRh2, from Alexandria via LeMat-Bulk.

```
4
Lattice="2.9115 0.0000 0.0000 0.0000 3.6376 0.0000 0.0000 0.0000 5.9909" Properties=species:S:1:pos:R:3 pbc="T T T"
Ta 0.0000 0.0000 0.0000
In 0.0000 0.0000 2.9955
Rh 1.4557 1.8188 1.4232
Rh 1.4557 1.8188 4.5677
```

Properties
crystal system = orthorhombic
calculated formation energy = -0.52 eV/atom
Fermi-level density of states = 2.0 states/eV/f.u.
theoretical density = 13.13 Mg/m³



[6]
The following is a SCAN calculation of a PBEsol-optimized structure of Zn9Ga3Mo2, from Alexandria via LeMat-Bulk.

```
14
Lattice="5.3893 0.0000 0.0000 -2.6947 4.6673 0.0000 0.0000 0.0000 8.6420" Properties=species:S:1:pos:R:3 pbc="T T T"
Zn -1.3473 2.3337 0.0000
Zn 0.0000 1.4920 6.5574
Zn -1.4026 3.9213 6.5574
Zn 1.2921 0.7460 2.0846
Zn 2.6947 0.0000 0.0000
Zn 1.3473 2.3337 0.0000
Zn 1.4026 3.9213 6.5574
Zn 4.0973 0.7460 2.0846
Zn 2.6947 3.1753 2.0846
Ga -1.3473 2.3337 4.3210
Ga 2.6947 0.0000 4.3210
Ga 1.3473 2.3337 4.3210
Mo 0.0000 3.1115 2.2462
Mo 2.6947 1.5558 6.3958
```

Properties
crystal system = trigonal
calculated formation energy = -0.14 eV/atom
Fermi-level density of states = 3.3 states/eV/f.u.
theoretical density = 7.56 Mg/m³



[7]
The following is a SCAN calculation of a PBEsol-optimized structure of BeRe2Hg, from Alexandria via LeMat-Bulk.

```
4
Lattice="2.8932 0.0000 0.0000 0.0000 2.8932 0.0000 0.0000 0.0000 6.8005" Properties=species:S:1:pos:R:3 pbc="T T T"
Be 0.0000 0.0000 0.0000
Re 1.4466 1.4466 1.2251
Re 1.4466 1.4466 5.5755
Hg 0.0000 0.0000 3.4003
```

Properties
excess energy over the best structure of this formula in the dataset = 226 meV per atom
crystal system = tetragonal
calculated formation energy = 0.45 eV/atom
Fermi-level density of states = 2.5 states/eV/f.u.
theoretical density = 16.98 Mg/m³



[8]
The following is a SCAN calculation of a PBEsol-optimized structure of CoRh2W, from Alexandria via LeMat-Bulk.

```
4
Lattice="3.7389 0.0000 0.0000 0.0000 3.7389 0.0000 0.0000 0.0000 3.7283" Properties=species:S:1:pos:R:3 pbc="T T T"
Co 0.0000 0.0000 0.0000
Rh 0.0000 1.8694 1.8641
Rh 1.8694 0.0000 1.8641
W 1.8694 1.8694 0.0000
```

Properties
excess energy over the best structure of this formula in the dataset = 74 meV per atom
crystal system = tetragonal
calculated formation energy = -0.10 eV/atom
Fermi-level density of states = 1.4 states/eV/f.u.
theoretical density = 14.29 Mg/m³



[9]
The following is a SCAN calculation of a PBEsol-optimized structure of GdCd, from Alexandria via LeMat-Bulk.

```
2
Lattice="3.7040 0.0000 0.0000 0.0000 3.7040 0.0000 0.0000 0.0000 3.7040" Properties=species:S:1:pos:R:3 pbc="T T T"
Gd 0.0000 0.0000 0.0000
Cd 1.8520 1.8520 1.8520
```

Properties
crystal system = cubic
calculated formation energy = -0.42 eV/atom
Fermi-level density of states = 1.1 states/eV/f.u.
theoretical density = 8.81 Mg/m³



[10]
The following is a SCAN calculation of a PBEsol-optimized structure of Sr2InBr, from Alexandria via LeMat-Bulk.

```
4
Lattice="4.0783 0.0000 0.0000 0.0000 3.8886 0.0000 -0.0442 0.0000 8.8690" Properties=species:S:1:pos:R:3 pbc="T T T"
Sr -0.0008 0.0000 1.9875
Sr 4.0349 0.0000 6.8815
In 2.0392 1.9443 0.0000
Br -0.0221 1.9443 4.4345
```

Properties
excess energy over the best structure of this formula in the dataset = 0 meV per atom
crystal system = monoclinic
Fermi-level density of states = 1.5 states/eV/f.u.
theoretical density = 4.37 Mg/m³
formation energy without anion corrections = -1140 meV per atom



[11]
The following is a SCAN calculation of a PBEsol-optimized structure of IrRu2Cl, from Alexandria via LeMat-Bulk.

```
8
Lattice="9.6941 0.0000 0.0000 0.0000 2.7634 0.0000 -0.1030 0.0000 4.2456" Properties=species:S:1:pos:R:3 pbc="T T T"
Ir 0.0000 0.0000 0.0000
Ir 4.8470 1.3817 0.0000
Ru 0.5653 1.3817 2.2126
Ru 2.6089 0.0000 3.2854
Ru 5.4123 0.0000 2.2126
Ru 7.4560 1.3817 3.2854
Cl 2.6724 1.3817 1.1918
Cl 7.5195 0.0000 1.1918
```

Properties
excess energy over the best structure of this formula in the dataset = 254 meV per atom
crystal system = monoclinic
Fermi-level density of states = 3.9 states/eV/f.u.
theoretical density = 12.55 Mg/m³
formation energy without anion corrections = 651 meV per atom



[12]
The following is a SCAN calculation of a PBEsol-optimized structure of ZrSbBr4, from Alexandria via LeMat-Bulk.

```
6
Lattice="0.0000 4.1855 4.1855 4.1855 0.0000 4.1855 4.1855 4.1855 0.0000" Properties=species:S:1:pos:R:3 pbc="T T T"
Zr 0.0000 0.0000 0.0000
Sb 6.2783 6.2783 6.2783
Br 3.1337 3.1337 3.1337
Br 5.2373 5.2373 3.1337
Br 5.2373 3.1337 5.2373
Br 3.1337 5.2373 5.2373
```

Properties
crystal system = cubic
Fermi-level density of states = 8.8 states/eV/f.u.
theoretical density = 6.03 Mg/m³
formation energy without anion corrections = 633 meV per atom



[13]
The following is a SCAN calculation of a PBEsol-optimized structure of Co2NiOs, from Alexandria via LeMat-Bulk.

```
4
Lattice="3.5734 0.0000 0.0000 0.0000 3.5734 0.0000 0.0000 0.0000 3.4972" Properties=species:S:1:pos:R:3 pbc="T T T"
Co 0.0000 1.7867 0.0000
Co 1.7867 0.0000 0.0000
Ni 0.0000 0.0000 1.7486
Os 1.7867 1.7867 1.7486
```

Properties
excess energy over the best structure of this formula in the dataset = 0 meV per atom
crystal system = tetragonal
calculated formation energy = 0.19 eV/atom
Fermi-level density of states = 3.8 states/eV/f.u.
theoretical density = 13.64 Mg/m³



[14]
The following is a SCAN calculation of a PBEsol-optimized structure of Nb2ZnCd, from Alexandria via LeMat-Bulk.

```
16
Lattice="6.5002 0.0000 0.0000 0.0000 6.5002 0.0000 0.0000 0.0000 6.5002" Properties=species:S:1:pos:R:3 pbc="T T T"
Nb 1.6250 1.6250 1.6250
Nb 1.6250 1.6250 4.8751
Nb 1.6250 4.8751 1.6250
Nb 1.6250 4.8751 4.8751
Nb 4.8751 1.6250 1.6250
Nb 4.8751 1.6250 4.8751
Nb 4.8751 4.8751 1.6250
Nb 4.8751 4.8751 4.8751
Zn 0.0000 0.0000 0.0000
Zn 0.0000 3.2501 3.2501
Zn 3.2501 0.0000 3.2501
Zn 3.2501 3.2501 0.0000
Cd 0.0000 0.0000 3.2501
Cd 0.0000 3.2501 0.0000
Cd 3.2501 0.0000 0.0000
Cd 3.2501 3.2501 3.2501
```

Properties
crystal system = cubic
calculated formation energy = 0.25 eV/atom
Fermi-level density of states = 3.8 states/eV/f.u.
theoretical density = 8.79 Mg/m³